The following is a PBE-GGA calculation of an optimized crystal structure of SrMg6BiO8, from the Alexandria database.

## Properties
- Energy relative to the lowest polymorph listed for this composition: 0.0800 eV/atom
- Fermi-level density of states: 2.7 states/eV per cell
- Energy relative to the elements, uncorrected: -2.06 eV per atom
- Space group: P4/mmm, No. 123

a b c (Å): 4.6721 4.6721 9.2602
angles (deg): 90.00 90.00 90.00
Fractional positions:
Sr (0.0000, 0.0000, 0.0000)
Mg (0.0000, 0.5000, 0.2437)
Mg (0.0000, 0.5000, 0.7563)
Mg (0.5000, 0.0000, 0.2437)
Mg (0.5000, 0.0000, 0.7563)
Mg (0.5000, 0.5000, 0.0000)
Mg (0.5000, 0.5000, 0.5000)
Bi (0.0000, 0.0000, 0.5000)
O (0.0000, 0.0000, 0.2516)
O (0.0000, 0.0000, 0.7484)
O (0.0000, 0.5000, 0.0000)
O (0.0000, 0.5000, 0.5000)
O (0.5000, 0.0000, 0.0000)
O (0.5000, 0.0000, 0.5000)
O (0.5000, 0.5000, 0.2521)
O (0.5000, 0.5000, 0.7479)